[1]
# TeP2Ir (PBE-GGA, optimized geometry)
data_TeP2Ir
_chemical_formula_sum 'Te1 P2 Ir1'
_cell_length_a 4.5321
_cell_length_b 3.6589
_cell_length_c 4.7738
_cell_angle_alpha 90.00
_cell_angle_beta 108.15
_cell_angle_gamma 90.00
_space_group_name_H-M_alt 'P 1'
_space_group_IT_number 1
_space_group_name_Hall 'P 1'
loop_
_atom_site_label
_atom_site_type_symbol
_atom_site_fract_x
_atom_site_fract_y
_atom_site_fract_z
_atom_site_occupancy
Te1 Te 0.0000 0.0000 0.0000 1
P1 P 0.2406 0.5000 0.6520 1
P2 P 0.7594 0.5000 0.3480 1
Ir1 Ir 0.5000 0.0000 0.5000 1
# * E_form (uncorrected): -0.0395 eV per atom
# * D(E_F): 2.070 states/eV per cell

[2]
# YHo2NpO8 (PBE-GGA, optimized geometry)
data_YHo2NpO8
_chemical_formula_sum 'Y1 Ho2 Np1 O8'
_cell_length_a 5.0734
_cell_length_b 5.0734
_cell_length_c 6.9867
_cell_angle_alpha 90.00
_cell_angle_beta 90.00
_cell_angle_gamma 90.92
_space_group_name_H-M_alt 'P 1'
_space_group_IT_number 1
_space_group_name_Hall 'P 1'
loop_
_atom_site_label
_atom_site_type_symbol
_atom_site_fract_x
_atom_site_fract_y
_atom_site_fract_z
_atom_site_occupancy
Y1 Y 0.0000 0.0000 0.0000 1
Ho1 Ho 0.5000 0.5000 0.2403 1
Ho2 Ho 0.5000 0.5000 0.7597 1
Np1 Np 0.0000 0.0000 0.5000 1
O1 O 0.1842 0.8158 0.2774 1
O2 O 0.1842 0.8158 0.7226 1
O3 O 0.2827 0.2827 0.5000 1
O4 O 0.3091 0.3091 0.0000 1
O5 O 0.6909 0.6909 0.0000 1
O6 O 0.7173 0.7173 0.5000 1
O7 O 0.8158 0.1842 0.2774 1
O8 O 0.8158 0.1842 0.7226 1
# * E_form (uncorrected): -3.1966 eV per atom

[3]
# AcMgZn3 (PBE-GGA, optimized geometry)
data_AcMgZn3
_chemical_formula_sum 'Ac2 Mg2 Zn6'
_cell_length_a 13.3685
_cell_length_b 13.3685
_cell_length_c 4.6062
_cell_angle_alpha 90.00
_cell_angle_beta 90.00
_cell_angle_gamma 163.65
_space_group_name_H-M_alt 'P 1'
_space_group_IT_number 1
_space_group_name_Hall 'P 1'
loop_
_atom_site_label
_atom_site_type_symbol
_atom_site_fract_x
_atom_site_fract_y
_atom_site_fract_z
_atom_site_occupancy
Ac1 Ac 0.0789 0.9211 0.7500 1
Ac2 Ac 0.9211 0.0789 0.2500 1
Mg1 Mg 0.2125 0.7875 0.2500 1
Mg2 Mg 0.7875 0.2125 0.7500 1
Zn1 Zn 0.3176 0.6824 0.2500 1
Zn2 Zn 0.3682 0.6318 0.7500 1
Zn3 Zn 0.4748 0.5252 0.7500 1
Zn4 Zn 0.5252 0.4748 0.2500 1
Zn5 Zn 0.6318 0.3682 0.2500 1
Zn6 Zn 0.6824 0.3176 0.7500 1
# * formation energy: -0.186 eV/atom
# * D(E_F): 6.330 states/eV per cell

[4]
# RbCoGe2Sb (PBE-GGA, optimized geometry)
data_RbCoGe2Sb
_chemical_formula_sum 'Rb1 Co1 Ge2 Sb1'
_cell_length_a 4.7816
_cell_length_b 4.7816
_cell_length_c 5.3141
_cell_angle_alpha 90.00
_cell_angle_beta 90.00
_cell_angle_gamma 90.00
_space_group_name_H-M_alt 'P 1'
_space_group_IT_number 1
_space_group_name_Hall 'P 1'
loop_
_atom_site_label
_atom_site_type_symbol
_atom_site_fract_x
_atom_site_fract_y
_atom_site_fract_z
_atom_site_occupancy
Rb1 Rb 0.0000 0.0000 0.0000 1
Co1 Co 0.5000 0.5000 0.5000 1
Ge1 Ge 0.0000 0.5000 0.5000 1
Ge2 Ge 0.5000 0.0000 0.5000 1
Sb1 Sb 0.5000 0.5000 0.0000 1
# * E_form (uncorrected): 0.2306 eV per atom
# * D(E_F): 7.052 states/eV per cell